Er2TmZn9 after structural relaxation, computed with GGA-PBE.

Cell lengths 9.0584, 9.0584, 9.0584 Å; angles 34.75, 34.75, 34.75 degrees
Fractional coordinates of all 12 atoms:
Er: 0.1396 0.1396 0.1396
Er: 0.8604 0.8604 0.8604
Tm: 0.0000 0.0000 0.0000
Zn: 0.0765 0.5855 0.5855
Zn: 0.3349 0.3349 0.3349
Zn: 0.4145 0.4145 0.9235
Zn: 0.4145 0.9235 0.4145
Zn: 0.5000 0.5000 0.5000
Zn: 0.5855 0.0765 0.5855
Zn: 0.5855 0.5855 0.0765
Zn: 0.6651 0.6651 0.6651
Zn: 0.9235 0.4145 0.4145

Results
Its space-group type is No. 166. The crystal system is trigonal. Its total moment is 0.000 μB per atom. The formation energy from the elements comes out at -305 meV/atom.